# 1
VASP calculation (PBE-GGA) on a relaxed structure of KSiMo.

Cell lengths 6.777, 6.777, 6.777 Å; angles 156.45, 143.84, 43.61 degrees
Fractional coordinates of all 3 atoms:
K 0.000 0.000 0.000
Si 0.257 0.257 0.000
Mo 0.734 0.734 0.000

The volume comes out at 73.2 Å³ per cell. As for the formation energy from raw total energies: 0.473 eV/atom. For the excess energy over the best structure of this formula in the dataset, the calculation gives 65 meV per atom. The calculation puts the raw total energy at -5.311 eV per atom.



# 2
VASP calculation (PBE-GGA) on a relaxed structure of KSn2Mo.

Cell lengths 9.444, 9.444, 9.444 Å; angles 140.45, 140.45, 57.17 degrees
Fractional coordinates of all 8 atoms:
K 0.000 0.000 0.000
K 0.750 0.250 0.500
Sn 0.370 0.625 0.245
Sn 0.375 0.620 0.745
Sn 0.380 0.125 0.755
Sn 0.875 0.630 0.255
Mo 0.250 0.750 0.500
Mo 0.500 0.500 0.000

The volume comes out at 338.6 Å³ per cell. For the excess energy over the best structure of this formula in the dataset, the calculation gives 0 meV per atom. The calculation puts the raw total energy at -4.464 eV per atom.



# 3
VASP calculation (PBE-GGA) on a relaxed structure of KSn2Mo.

Cell lengths 5.135, 5.135, 5.135 Å; angles 60.00, 60.00, 60.00 degrees
Fractional coordinates of all 4 atoms:
K 0.000 0.000 0.000
Sn 0.250 0.250 0.250
Sn 0.750 0.750 0.750
Mo 0.500 0.500 0.500

The volume comes out at 95.7 Å³ per cell. For the excess energy over the best structure of this formula in the dataset, the calculation gives 73 meV per atom. The calculation puts the raw total energy at -4.391 eV per atom.



# 4
VASP calculation (PBE-GGA) on a relaxed structure of KSn3Mo.

Cell lengths 5.330, 5.330, 5.330 Å; angles 90.00, 90.00, 90.00 degrees
Fractional coordinates of all 5 atoms:
K 0.000 0.000 0.000
Sn 0.000 0.500 0.500
Sn 0.500 0.000 0.500
Sn 0.500 0.500 0.000
Mo 0.500 0.500 0.500

The volume comes out at 151.5 Å³ per cell. For the excess energy over the best structure of this formula in the dataset, the calculation gives 0 meV per atom. The calculation puts the raw total energy at -4.721 eV per atom.



# 5
VASP calculation (PBE-GGA) on a relaxed structure of K3SnMo.

Cell lengths 6.760, 6.760, 6.760 Å; angles 90.00, 90.00, 90.00 degrees
Fractional coordinates of all 5 atoms:
K 0.000 0.000 0.500
K 0.000 0.500 0.000
K 0.500 0.000 0.000
Sn 0.000 0.000 0.000
Mo 0.500 0.500 0.500

The volume comes out at 309.0 Å³ per cell. For the excess energy over the best structure of this formula in the dataset, the calculation gives 0 meV per atom. The calculation puts the raw total energy at -2.482 eV per atom.



# 6
VASP calculation (PBE-GGA) on a relaxed structure of KSn3Mo.

Cell lengths 5.571, 5.571, 5.571 Å; angles 90.00, 90.00, 90.00 degrees
Fractional coordinates of all 5 atoms:
K 0.000 0.000 0.000
Sn 0.000 0.000 0.500
Sn 0.000 0.500 0.000
Sn 0.500 0.000 0.000
Mo 0.500 0.500 0.500

The volume comes out at 172.9 Å³ per cell. For the excess energy over the best structure of this formula in the dataset, the calculation gives 2078 meV per atom. The calculation puts the raw total energy at -2.643 eV per atom.



| no. | Fermi-level density of states (states/eV/f.u.) | total magnetic moment (μB per cell) |
| --- | --- | --- |
| 1 | 2.54 | 0.0 |
| 2 | 1.27 | 2.0 |
| 3 | 3.46 | 2.5 |
| 4 | 3.70 | 0.0 |
| 5 | 2.15 | 7.0 |
| 6 | 10.18 | 1.0 |